The following is a DFT calculation (PBE) of a relaxed LaRe2Te crystal.

```
data_LaRe2Te
_chemical_formula_sum 'La1 Re2 Te1'
_symmetry_space_group_name_H-M 'P 1'
_symmetry_Int_Tables_number 1
_symmetry_space_group_name_Hall 'P 1'
_cell_length_a 3.534
_cell_length_b 4.666
_cell_length_c 5.116
_cell_angle_alpha 90.00
_cell_angle_beta 90.00
_cell_angle_gamma 90.00
loop_
_atom_site_label
_atom_site_fract_x
_atom_site_fract_y
_atom_site_fract_z
La1 0.000 0.000 0.000
Re1 0.000 0.500 0.500
Re2 0.500 0.000 0.500
Te1 0.500 0.500 0.000
```

Properties
formation energy (no corrections): 0.702 eV/atom
density: 12.58 Mg/m³
M_tot: 0.0 μB/f.u.
total energy: -7.5395 eV per atom